(1)
CaTbSn2 PBE optimized geometry; volume = 115.7 Å³/f.u.; calculated formation energy = -0.650 eV/atom
1.0
4.284 0.000 0.000
0.000 6.214 0.000
0.000 0.000 8.690
Ca Tb Sn
2 2 4
Direct
0.000 0.123 0.682
0.000 0.877 0.182
0.500 0.366 0.317
0.500 0.634 0.817
0.000 0.586 0.543
0.000 0.414 0.043
0.500 0.891 0.458
0.500 0.109 0.958

=====

(2)
Pr12Si3O5 PBE optimized geometry; volume = 505.7 Å³/f.u.; uncorrected formation energy = -1.530 eV/atom
1.0
13.800 0.000 0.000
-4.600 13.011 0.000
-4.600 -6.505 11.267
Si O Pr
12 20 48
Direct
0.750 0.375 0.125
0.875 0.750 0.125
0.375 0.750 0.625
0.250 0.125 0.375
0.875 0.125 0.250
0.375 0.625 0.250
0.625 0.375 0.750
0.125 0.875 0.750
0.750 0.875 0.625
0.625 0.250 0.375
0.125 0.250 0.875
0.250 0.625 0.875
0.125 0.375 0.250
0.000 0.500 0.000
0.000 0.000 0.000
0.375 0.250 0.125
0.500 0.000 0.500
0.500 0.500 0.000
0.125 0.750 0.375
0.750 0.125 0.875
0.750 0.625 0.375
0.375 0.125 0.750
0.625 0.875 0.250
0.500 0.500 0.500
0.500 0.000 0.000
0.000 0.000 0.500
0.250 0.375 0.625
0.250 0.875 0.125
0.000 0.500 0.500
0.875 0.250 0.625
0.625 0.750 0.875
0.875 0.625 0.750
0.704 0.115 0.020
0.316 0.520 0.404
0.980 0.385 0.296
0.520 0.204 0.115
0.589 0.704 0.684
0.980 0.596 0.184
0.316 0.796 0.411
0.096 0.911 0.115
0.596 0.980 0.684
0.704 0.589 0.184
0.796 0.480 0.385
0.816 0.904 0.020
0.115 0.704 0.520
0.385 0.404 0.089
0.089 0.904 0.385
0.411 0.115 0.596
0.089 0.184 0.204
0.480 0.684 0.096
0.816 0.911 0.296
0.115 0.411 0.096
0.385 0.980 0.796
0.596 0.615 0.411
0.904 0.816 0.520
0.796 0.316 0.911
0.404 0.385 0.589
0.096 0.184 0.480
0.204 0.684 0.089
0.184 0.089 0.704
0.615 0.020 0.204
0.885 0.589 0.904
0.520 0.316 0.904
0.589 0.885 0.404
0.911 0.816 0.796
0.911 0.096 0.615
0.885 0.296 0.480
0.184 0.096 0.980
0.615 0.596 0.911
0.404 0.020 0.316
0.296 0.411 0.816
0.204 0.520 0.615
0.904 0.089 0.885
0.684 0.204 0.589
0.480 0.796 0.885
0.020 0.404 0.816
0.411 0.296 0.316
0.020 0.615 0.704
0.684 0.480 0.596
0.296 0.885 0.980

=====

(3)
ScCr2Mo PBE optimized geometry; volume = 58.9 Å³/f.u.; calculated formation energy = 0.335 eV/atom; ΔE to the lowest computed polymorph = 0.57 eV per formula unit
1.0
-2.226 -4.613 -0.973
3.237 0.336 3.872
-1.697 -0.082 2.086
Cr Mo Sc
2 1 1
Direct
0.000 0.000 0.000
0.500 0.000 0.500
0.000 0.500 0.500
0.500 0.500 0.000

=====

(4)
NiPdPtRh PBE optimized geometry; volume = 57.4 Å³/f.u.; calculated formation energy = 0.142 eV/atom; ΔE to the lowest computed polymorph = 0.52 eV per formula unit
1.0
4.329 0.000 0.000
2.165 3.749 0.000
2.165 1.250 3.535
Ni Rh Pd Pt
1 1 1 1
Direct
0.500 0.500 0.500
0.000 0.000 0.000
0.750 0.750 0.750
0.250 0.250 0.250

=====

(5)
Cs2Fe3Cl9 PBE optimized geometry; volume = 463.0 Å³/f.u.; uncorrected formation energy = -1.094 eV/atom
1.0
10.341 -0.684 -2.701
-3.718 8.733 -4.110
-0.485 0.644 10.312
Cs Fe Cl
4 6 18
Direct
0.203 0.587 0.271
0.797 0.729 0.413
0.797 0.413 0.729
0.203 0.271 0.587
0.331 0.128 0.128
0.669 0.872 0.872
0.688 0.057 0.294
0.312 0.706 0.943
0.312 0.943 0.706
0.688 0.294 0.057
0.500 0.205 0.795
0.160 0.471 0.901
0.160 0.901 0.471
0.840 0.529 0.099
0.785 0.765 0.765
0.215 0.235 0.235
0.520 0.343 0.145
0.480 0.855 0.657
0.480 0.657 0.855
0.520 0.145 0.343
0.180 0.697 0.697
0.786 0.946 0.141
0.786 0.141 0.946
0.214 0.054 0.859
0.214 0.859 0.054
0.500 0.795 0.205
0.820 0.303 0.303
0.840 0.099 0.529

=====

(6)
Dy2Er6Hg PBE optimized geometry; volume = 277.6 Å³/f.u.; calculated formation energy = 0.031 eV/atom
1.0
-1.223 3.159 -0.926
1.769 -1.906 -8.832
-8.762 -2.355 3.552
Dy Er Hg
2 6 1
Direct
0.499 0.684 0.367
0.501 0.316 0.633
0.000 0.339 0.322
0.000 0.016 0.678
0.000 0.661 0.678
0.500 0.297 0.000
0.000 0.984 0.322
0.500 0.703 0.000
0.000 0.000 0.000

=====

(7)
CaMgBe2Ru PBE optimized geometry; volume = 95.0 Å³/f.u.; calculated formation energy = 0.971 eV/atom
1.0
4.497 0.000 0.000
0.000 4.697 0.000
0.000 0.000 4.497
Ru Ca Mg Be
1 1 1 2
Direct
0.000 0.500 0.000
0.500 0.500 0.500
0.000 0.000 0.000
0.000 0.000 0.500
0.500 0.000 0.000

=====

(8)
LiMgVSi2 PBE optimized geometry; volume = 101.1 Å³/f.u.; uncorrected formation energy = 0.473 eV/atom
1.0
-3.199 -2.049 2.659
3.291 -0.963 3.219
-0.858 4.050 2.089
Si Li Mg V
2 1 1 1
Direct
0.000 0.000 0.500
0.500 0.000 0.000
0.000 0.500 0.000
0.500 0.500 0.500
0.000 0.000 0.000

=====

(9)
Ho4AlFe PBE optimized geometry; volume = 152.2 Å³/f.u.; calculated formation energy = -0.137 eV/atom
1.0
5.914 -0.715 0.000
-2.429 8.474 0.000
-1.743 -3.879 6.290
Ho Al Fe
8 2 2
Direct
0.100 0.208 0.845
0.772 0.727 0.669
0.245 0.637 0.845
0.397 0.942 0.669
0.603 0.058 0.331
0.755 0.363 0.155
0.228 0.273 0.331
0.900 0.792 0.155
0.375 0.625 0.250
0.625 0.375 0.750
0.249 0.999 0.997
0.751 0.001 0.003

=====

(10)
CaPPtW2 PBE optimized geometry; volume = 99.2 Å³/f.u.; calculated formation energy = 2.816 eV/atom
1.0
4.600 0.000 0.000
0.000 4.688 0.000
0.000 0.000 4.600
P Ca W Pt
1 1 2 1
Direct
0.000 0.500 0.000
0.000 0.000 0.000
0.000 0.000 0.500
0.500 0.000 0.000
0.500 0.500 0.500

=====

(11)
AlAsPd2 PBE optimized geometry; volume = 62.3 Å³/f.u.; calculated formation energy = -0.414 eV/atom; ΔE to the lowest computed polymorph = 0.52 eV per formula unit
1.0
0.000 3.147 3.147
3.147 0.000 3.147
3.147 3.147 0.000
As Al Pd
1 1 2
Direct
0.500 0.500 0.500
0.000 0.000 0.000
0.250 0.250 0.250
0.750 0.750 0.750

=====

(12)
CsMg3Se4O12 PBE optimized geometry; volume = 315.4 Å³/f.u.; uncorrected formation energy = -1.058 eV/atom
1.0
-6.107 -2.357 -2.933
3.159 -5.757 2.886
-1.932 4.165 5.511
Cs Mg Se O
1 3 4 12
Direct
0.000 0.000 0.000
0.565 0.435 0.000
0.435 0.000 0.565
0.000 0.565 0.435
0.943 0.057 0.500
0.057 0.500 0.943
0.500 0.943 0.057
0.500 0.500 0.500
0.500 0.343 0.657
0.884 0.500 0.116
0.116 0.884 0.500
0.500 0.116 0.884
0.396 0.962 0.250
0.250 0.396 0.962
0.962 0.250 0.396
0.604 0.750 0.038
0.038 0.604 0.750
0.750 0.038 0.604
0.657 0.500 0.343
0.343 0.657 0.500

=====

(13)
Tb9Pm11Th4 PBE optimized geometry; volume = 814.3 Å³/f.u.; calculated formation energy = 0.111 eV/atom
1.0
-0.679 3.526 0.911
-9.192 -4.733 11.465
14.691 1.684 4.434
Tb Pm Th
9 11 4
Direct
0.500 0.635 0.163
0.500 0.365 0.837
0.500 0.163 0.635
0.500 0.837 0.365
0.500 0.788 0.933
0.500 0.212 0.067
0.500 0.933 0.788
0.500 0.067 0.212
0.500 0.500 0.500
0.000 0.591 0.954
0.000 0.409 0.046
0.000 0.954 0.591
0.000 0.046 0.409
0.000 0.632 0.368
0.000 0.368 0.632
0.000 0.842 0.158
0.000 0.158 0.842
0.000 0.000 0.000
0.000 0.707 0.707
0.000 0.293 0.293
0.500 0.555 0.759
0.500 0.445 0.241
0.500 0.759 0.555
0.500 0.241 0.445

=====

(14)
MgInNF2 PBE optimized geometry; volume = 64.5 Å³/f.u.; uncorrected formation energy = -1.454 eV/atom; ΔE to the lowest computed polymorph = 0.00 eV per formula unit
1.0
3.683 0.000 0.000
0.000 3.683 0.000
0.000 0.000 4.756
N Mg F In
1 1 2 1
Direct
0.000 0.000 0.500
0.000 0.000 0.000
0.000 0.500 0.000
0.500 0.000 0.000
0.500 0.500 0.500

=====

(15)
VGa2HPd PBE optimized geometry; energy = -23.73 eV per formula unit; volume = 63.4 Å³/f.u.
1.0
-2.902 -0.351 3.126
-2.388 -0.946 -2.323
1.090 -4.102 0.551
H Ga Pd V
1 2 1 1
Direct
0.000 0.000 0.000
0.000 0.000 0.500
0.500 0.000 0.000
0.000 0.500 0.000
0.500 0.500 0.500

=====

(16)
MgZrPb2 PBE optimized geometry; volume = 98.6 Å³/f.u.; calculated formation energy = -0.054 eV/atom
1.0
3.439 0.000 0.000
0.000 4.290 0.000
0.000 0.000 6.685
Mg Pb Zr
1 2 1
Direct
0.500 0.500 0.750
0.000 0.000 0.002
0.000 0.000 0.498
0.500 0.500 0.250

=====

(17)
PmSm6Tl2 PBE optimized geometry; volume = 289.2 Å³/f.u.; calculated formation energy = -0.147 eV/atom
1.0
3.825 0.000 0.000
1.913 6.548 0.501
1.913 1.895 11.692
Pm Sm Tl
1 6 2
Direct
0.000 0.000 0.000
0.688 0.499 0.126
0.312 0.501 0.874
0.308 0.799 0.585
0.990 0.677 0.344
0.010 0.323 0.656
0.692 0.201 0.415
0.361 0.067 0.210
0.639 0.933 0.790

=====

(18)
CaTcW PBE optimized geometry; volume = 56.5 Å³/f.u.; calculated formation energy = 0.627 eV/atom; ΔE to the lowest computed polymorph = 0.66 eV per formula unit
1.0
7.634 -0.009 0.006
6.890 2.787 0.015
0.745 -0.900 2.647
Ca Tc W
1 1 1
Direct
0.996 0.996 0.004
0.319 0.319 0.681
0.685 0.685 0.315

=====

(19)
AsOsCl2 PBE optimized geometry; volume = 67.3 Å³/f.u.; uncorrected formation energy = 0.906 eV/atom; ΔE to the lowest computed polymorph = 3.92 eV per formula unit
1.0
4.566 0.000 0.000
2.283 3.955 0.000
2.283 1.318 3.728
As Os Cl
1 1 2
Direct
0.500 0.500 0.500
0.250 0.250 0.250
0.000 0.000 0.000
0.750 0.750 0.750

=====

(20)
RbAsO3 PBE optimized geometry; volume = 94.9 Å³/f.u.; uncorrected formation energy = -0.842 eV/atom
1.0
4.230 0.000 0.000
0.000 4.230 0.000
2.115 2.115 10.614
As O Rb
2 6 2
Direct
0.000 0.000 0.000
0.250 0.750 0.500
0.212 0.940 0.121
0.060 0.788 0.879
0.060 0.332 0.879
0.668 0.940 0.121
0.259 0.259 0.483
0.741 0.741 0.517
0.648 0.148 0.704
0.852 0.352 0.296